(1)
DFT (PBEsol) results for a relaxed Ti2OsRh crystal.

Summary:
Calculated formation energy: -0.71 eV per atom
Total energy: -9.95 eV per atom

a = 6.124 Å, b = 6.124 Å, c = 6.124 Å
α = 90.00°, β = 90.00°, γ = 90.00°
Space group Fm-3m (No. 225)
Unique sites:
Ti  0.250  0.250  0.250 (multiplicity 8)
Os  0.000  0.000  0.000 (multiplicity 4)
Rh  0.000  0.000  0.500 (multiplicity 4)



(2)
DFT (PBEsol) results for a relaxed TlOsRh crystal.

Summary:
Calculated formation energy: 0.48 eV per atom
Total energy: -7.18 eV per atom

a = 2.873 Å, b = 2.873 Å, c = 11.874 Å
α = 90.00°, β = 90.00°, γ = 90.00°
Space group I4mm (No. 107)
Unique sites:
Tl  0.000  0.000  0.000 (multiplicity 2)
Os  0.000  0.000  0.684 (multiplicity 2)
Rh  0.000  0.000  0.318 (multiplicity 2)



(3)
DFT (PBEsol) results for a relaxed OsRh2W crystal.

Summary:
Calculated formation energy: -0.16 eV per atom
E above lowest polymorph: 0.8 kJ/mol of atoms
Total energy: -10.73 eV per atom

a = 2.708 Å, b = 4.343 Å, c = 4.762 Å
α = 90.00°, β = 90.00°, γ = 90.00°
Space group Pmm2 (No. 25)
Unique sites:
Os  0.000  0.000  0.000 (multiplicity 1)
Rh  0.500  0.000  0.508 (multiplicity 1)
Rh  0.500  0.500  0.836 (multiplicity 1)
W  0.000  0.500  0.328 (multiplicity 1)